# 1
## Ce5Sb2IrN (GGA-PBE)

Data for a relaxed Ce5Sb2IrN crystal. Values from VASP.

Quantum ESPRESSO input file:
```
&SYSTEM
  ibrav = 0, nat = 9, ntyp = 4
/
ATOMIC_SPECIES
Ce 140.12 Ce.upf
Sb 121.76 Sb.upf
Ir 192.22 Ir.upf
N 14.01 N.upf
CELL_PARAMETERS angstrom
-0.9800 -4.4466 -0.7918
1.8111 -1.1291 4.0994
-10.0670 1.3600 4.8223
ATOMIC_POSITIONS crystal
Ce 0.0000 0.0000 0.7685
Sb 0.5000 0.5000 0.2892
Ce 0.5000 0.5000 0.0000
Ir 0.0000 0.0000 0.0000
N 0.0000 0.0000 0.5000
Ce 0.0000 0.0000 0.2315
Ce 0.0000 0.5000 0.5000
Sb 0.5000 0.5000 0.7108
Ce 0.5000 0.0000 0.5000
```

Output
Electronic total energy ... -7.004 eV per atom
Total magnetization ... 4.62 μB per formula unit
Density of states at the Fermi level ... 27.1 states/eV/cell
Space-group type ... No. 123
ΔE_f (raw) ... -882 meV/atom

# 2
## Ce6Sn2IrN (GGA-PBE)

Data for a relaxed Ce6Sn2IrN crystal. Values from VASP.

Quantum ESPRESSO input file:
```
&SYSTEM
  ibrav = 0, nat = 10, ntyp = 4
/
ATOMIC_SPECIES
Ce 140.12 Ce.upf
N 14.01 N.upf
Sn 118.71 Sn.upf
Ir 192.22 Ir.upf
CELL_PARAMETERS angstrom
5.1824 0.0000 0.0000
0.0000 5.1824 0.0000
0.0000 0.0000 10.3678
ATOMIC_POSITIONS crystal
Ce 0.5000 0.0000 0.5000
Ce 0.0000 0.5000 0.0000
N 0.5000 0.5000 0.5000
Sn 0.0000 0.0000 0.7386
Ce 0.5000 0.5000 0.2774
Ir 0.5000 0.5000 0.0000
Ce 0.0000 0.5000 0.5000
Sn 0.0000 0.0000 0.2614
Ce 0.5000 0.5000 0.7226
Ce 0.5000 0.0000 0.0000
```

Output
Electronic total energy ... -6.710 eV per atom
Total magnetization ... 5.20 μB per formula unit
Density of states at the Fermi level ... 28.8 states/eV/cell
Space-group type ... No. 123
ΔE_f (raw) ... -630 meV/atom

# 3
## CeTh2IrN4 (GGA-PBE)

Data for a relaxed CeTh2IrN4 crystal. Values from VASP.

Quantum ESPRESSO input file:
```
&SYSTEM
  ibrav = 0, nat = 16, ntyp = 4
/
ATOMIC_SPECIES
N 14.01 N.upf
Ce 140.12 Ce.upf
Th 232.04 Th.upf
Ir 192.22 Ir.upf
CELL_PARAMETERS angstrom
3.4900 0.0000 0.0000
-1.7450 5.9714 0.0000
0.0000 0.0000 12.1515
ATOMIC_POSITIONS crystal
N 0.2814 0.5627 0.3736
Ce 0.1090 0.2181 0.7500
N 0.7186 0.4373 0.6264
N 0.7186 0.4373 0.8736
N 0.5414 0.0827 0.2500
Th 0.3695 0.7389 0.9435
Th 0.6305 0.2611 0.4435
Th 0.3695 0.7389 0.5565
N 0.4586 0.9173 0.7500
Ce 0.8910 0.7819 0.2500
N 0.2814 0.5627 0.1264
Ir 0.8476 0.6952 0.7500
Th 0.6305 0.2611 0.0565
Ir 0.1524 0.3048 0.2500
N 0.0000 0.0000 0.0000
N 0.0000 0.0000 0.5000
```

Output
Electronic total energy ... -8.961 eV per atom
Total magnetization ... 0.07 μB per formula unit
Density of states at the Fermi level ... 7.8 states/eV/cell
Space-group type ... No. 63
ΔE_f (raw) ... -1094 meV/atom

# 4
## NaCeIr4 (GGA-PBE)

Data for a relaxed NaCeIr4 crystal. Values from VASP.

Quantum ESPRESSO input file:
```
&SYSTEM
  ibrav = 0, nat = 6, ntyp = 3
/
ATOMIC_SPECIES
Na 22.99 Na.upf
Ce 140.12 Ce.upf
Ir 192.22 Ir.upf
CELL_PARAMETERS angstrom
-3.8428 -3.6234 0.7715
1.1343 -5.2053 -0.3320
0.0189 -3.0136 4.4056
ATOMIC_POSITIONS crystal
Na 0.2500 0.2500 0.2500
Ce 0.0000 0.0000 0.0000
Ir 0.6246 0.6246 0.1261
Ir 0.6246 0.1261 0.6246
Ir 0.1261 0.6246 0.6246
Ir 0.6246 0.6246 0.6246
```

Output
Electronic total energy ... -7.506 eV per atom
Total magnetization ... 0.00 μB per formula unit
Density of states at the Fermi level ... 8.4 states/eV/cell
Space-group type ... No. 216
ΔH_f (0 K) ... -389.4 meV/atom

# 5
## NaCe2Ir9 (GGA-PBE)

Data for a relaxed NaCe2Ir9 crystal. Values from VASP.

Quantum ESPRESSO input file:
```
&SYSTEM
  ibrav = 0, nat = 12, ntyp = 3
/
ATOMIC_SPECIES
Ce 140.12 Ce.upf
Ir 192.22 Ir.upf
Na 22.99 Na.upf
CELL_PARAMETERS angstrom
5.3206 0.0000 0.0000
2.6603 4.6078 0.0000
2.6603 1.5359 8.8034
ATOMIC_POSITIONS crystal
Ce 0.8650 0.8650 0.4051
Ir 0.5817 0.5817 0.7545
Ir 0.3325 0.3325 0.0026
Ir 0.4183 0.9179 0.2455
Ce 0.1350 0.1350 0.5949
Na 0.0000 0.0000 0.0000
Ir 0.6675 0.6675 0.9974
Ir 0.5817 0.0821 0.7545
Ir 0.9179 0.4183 0.2455
Ir 0.0821 0.5817 0.7545
Ir 0.4183 0.4183 0.2455
Ir 0.5000 0.5000 0.5000
```

Output
Electronic total energy ... -8.075 eV per atom
Total magnetization ... 0.00 μB per formula unit
Density of states at the Fermi level ... 13.2 states/eV/cell
Space-group type ... No. 166
ΔH_f (0 K) ... -330.7 meV/atom

# 6
## NaCeIr (GGA-PBE)

Data for a relaxed NaCeIr crystal. Values from VASP.

Quantum ESPRESSO input file:
```
&SYSTEM
  ibrav = 0, nat = 6, ntyp = 3
/
ATOMIC_SPECIES
Na 22.99 Na.upf
Ce 140.12 Ce.upf
Ir 192.22 Ir.upf
CELL_PARAMETERS angstrom
4.0068 0.0563 -0.0388
0.0368 4.0071 -0.0388
-1.9252 -1.9346 8.8780
ATOMIC_POSITIONS crystal
Na 0.2380 0.2380 0.4991
Ce 0.3182 0.3182 0.1373
Na 0.7620 0.7620 0.5009
Ir 0.8411 0.8411 0.1838
Ir 0.1589 0.1589 0.8162
Ce 0.6818 0.6818 0.8627
```

Output
Electronic total energy ... -5.710 eV per atom
Total magnetization ... 0.04 μB per formula unit
Density of states at the Fermi level ... 7.0 states/eV/cell
Space-group type ... No. 12
ΔH_f (0 K) ... -338.3 meV/atom

# 7
## Na2CeIrO4 (GGA-PBE)

Data for a relaxed Na2CeIrO4 crystal. Values from VASP.

Quantum ESPRESSO input file:
```
&SYSTEM
  ibrav = 0, nat = 8, ntyp = 4
/
ATOMIC_SPECIES
Ir 192.22 Ir.upf
O 16.00 O.upf
Ce 140.12 Ce.upf
Na 22.99 Na.upf
CELL_PARAMETERS angstrom
5.2770 0.1235 0.1892
-2.1368 4.8267 -0.1892
-2.1368 -2.1156 4.3424
ATOMIC_POSITIONS crystal
Ir 0.0000 0.5000 0.5000
O 0.1116 0.3112 0.7782
Ce 0.5000 0.2500 0.7500
O 0.4669 0.8004 0.6888
Na 0.5000 0.7500 0.2500
O 0.5331 0.2218 0.3334
Na 0.0000 0.0000 0.0000
O 0.8884 0.6666 0.1996
```

Output
Electronic total energy ... -6.475 eV per atom
Total magnetization ... 1.06 μB per formula unit
Density of states at the Fermi level ... 5.0 states/eV/cell
Space-group type ... No. 82
ΔE_f (raw) ... -1816 meV/atom

# 8
## NaCeIrO4 (GGA-PBE)

Data for a relaxed NaCeIrO4 crystal. Values from VASP.

Quantum ESPRESSO input file:
```
&SYSTEM
  ibrav = 0, nat = 14, ntyp = 4
/
ATOMIC_SPECIES
O 16.00 O.upf
Ce 140.12 Ce.upf
Na 22.99 Na.upf
Ir 192.22 Ir.upf
CELL_PARAMETERS angstrom
-2.6958 -4.4430 -4.1449
4.5388 4.0911 -2.0069
1.1111 -5.2148 4.8672
ATOMIC_POSITIONS crystal
O 0.2287 0.4575 0.6592
Ce 0.5000 0.0000 0.0000
O 0.7082 0.0015 0.2507
O 0.2933 0.0015 0.2507
Na 0.8862 0.7725 0.1362
O 0.2918 0.9985 0.7493
O 0.7067 0.9985 0.7493
O 0.7713 0.5425 0.7017
Ce 0.5000 0.0000 0.5000
O 0.2287 0.4575 0.2983
Na 0.1138 0.2275 0.8638
Ir 0.0000 0.5000 0.5000
O 0.7713 0.5425 0.3408
Ir 0.5000 0.5000 0.5000
```

Output
Electronic total energy ... -7.107 eV per atom
Total magnetization ... 0.00 μB per formula unit
Space-group type ... No. 74
ΔE_f (raw) ... -1972 meV/atom

# 9
## Na3Ce3IrS8 (GGA-PBE)

Data for a relaxed Na3Ce3IrS8 crystal. Values from VASP.

Quantum ESPRESSO input file:
```
&SYSTEM
  ibrav = 0, nat = 15, ntyp = 4
/
ATOMIC_SPECIES
S 32.06 S.upf
Na 22.99 Na.upf
Ce 140.12 Ce.upf
Ir 192.22 Ir.upf
CELL_PARAMETERS angstrom
7.9123 0.0000 0.0000
-3.9561 6.8525 -0.0257
0.0000 -4.5453 6.8008
ATOMIC_POSITIONS crystal
S 0.7823 0.5645 0.2893
S 0.7450 0.4899 0.7347
S 0.2177 0.4355 0.7107
Na 0.0000 0.0000 0.0000
Ce 0.0000 0.5000 0.5000
Na 0.0000 0.5000 0.0000
Ce 0.5000 0.5000 0.5000
Ir 0.0000 0.0000 0.5000
S 0.7823 0.0069 0.2893
S 0.2177 0.9931 0.7107
S 0.7754 0.9931 0.7107
Na 0.5000 0.5000 0.0000
Ce 0.5000 0.0000 0.5000
S 0.2550 0.5101 0.2653
S 0.2246 0.0069 0.2893
```

Output
Electronic total energy ... -5.666 eV per atom
Total magnetization ... 2.03 μB per formula unit
Density of states at the Fermi level ... 13.5 states/eV/cell
Space-group type ... No. 166
ΔE_f (raw) ... -1424 meV/atom

# 10
## Na3Ce2IrS6 (GGA-PBE)

Data for a relaxed Na3Ce2IrS6 crystal. Values from VASP.

Quantum ESPRESSO input file:
```
&SYSTEM
  ibrav = 0, nat = 12, ntyp = 4
/
ATOMIC_SPECIES
S 32.06 S.upf
Na 22.99 Na.upf
Ce 140.12 Ce.upf
Ir 192.22 Ir.upf
CELL_PARAMETERS angstrom
6.7157 0.0082 -0.0002
-3.3491 5.8210 -0.0002
-1.1232 -1.9448 6.8087
ATOMIC_POSITIONS crystal
S 0.0755 0.3728 0.2235
S 0.7757 0.7757 0.2173
S 0.3728 0.0755 0.2235
S 0.2243 0.2243 0.7827
Na 0.1647 0.8353 0.5000
S 0.9245 0.6272 0.7765
Ce 0.6679 0.3321 0.0000
S 0.6272 0.9245 0.7765
Ir 0.0000 0.0000 0.0000
Na 0.8353 0.1647 0.5000
Ce 0.3321 0.6679 0.0000
Na 0.5000 0.5000 0.5000
```

Output
Electronic total energy ... -5.409 eV per atom
Total magnetization ... 2.08 μB per formula unit
Density of states at the Fermi level ... 14.4 states/eV/cell
Space-group type ... No. 12
ΔE_f (raw) ... -1288 meV/atom

# 11
## CeNb2Ir2 (GGA-PBE)

Data for a relaxed CeNb2Ir2 crystal. Values from VASP.

Quantum ESPRESSO input file:
```
&SYSTEM
  ibrav = 0, nat = 5, ntyp = 3
/
ATOMIC_SPECIES
Nb 92.91 Nb.upf
Ce 140.12 Ce.upf
Ir 192.22 Ir.upf
CELL_PARAMETERS angstrom
4.4964 0.0000 0.0000
0.0000 4.4964 0.0000
-2.2482 -2.2482 5.2329
ATOMIC_POSITIONS crystal
Nb 0.2500 0.7500 0.5000
Ce 0.0000 0.0000 0.0000
Ir 0.3738 0.3738 0.7476
Ir 0.6262 0.6262 0.2524
Nb 0.7500 0.2500 0.5000
```

Output
Electronic total energy ... -9.234 eV per atom
Total magnetization ... 0.95 μB per formula unit
Density of states at the Fermi level ... 8.5 states/eV/cell
Space-group type ... No. 139
ΔH_f (0 K) ... -474.7 meV/atom

Number 1: density 8.0 Mg/m³. Number 2: density 7.7 Mg/m³. Number 3: density 11.2 Mg/m³. Number 4: density 14.4 Mg/m³. Number 5: density 15.6 Mg/m³. Number 6: density 8.3 Mg/m³. Number 7: density 6.5 Mg/m³. Number 8: density 7.0 Mg/m³. Number 9: density 4.2 Mg/m³. Number 10: density 4.6 Mg/m³. Number 11: density 11.1 Mg/m³.